[1]
Density functional theory data (PBE-GGA) for an optimized crystal structure of Al3Rh.

abc: 4.718 4.718 4.718
angles: 90.00 90.00 90.00
Atoms (fractional coordinates):
Rh1 0.000 0.000 0.000
Al1 0.500 0.000 0.000
Al2 0.000 0.500 0.000
Al3 0.000 0.000 0.500

Results
ΔE_f in eV per atom: -0.222
DOS at the Fermi energy in states/eV/atom: 0.2471
VASP energy in eV for the cell shown: -19.47

---

[2]
Density functional theory data (PBE-GGA) for an optimized crystal structure of Al3Rh4.

abc: 4.990 4.990 4.743
angles: 90.00 90.00 120.00
Last column: magnetic moment on the atom in μB.
Atoms (fractional coordinates):
Al1 0.000 0.500 0.000  0.00
Al2 0.500 0.500 0.000  0.00
Al3 0.500 0.000 0.000  0.00
Rh1 0.000 0.000 0.254  0.51
Rh2 0.000 0.000 0.746  0.51
Rh3 0.667 0.333 0.500  0.32
Rh4 0.333 0.667 0.500  0.32

Results
ΔE_f in eV per atom: -0.221
DOS at the Fermi energy in states/eV/atom: 1.1849
ΔE to the lowest computed polymorph in meV/atom: 424.8
VASP energy in eV for the cell shown: -42.18

---

[3]
Density functional theory data (PBE-GGA) for an optimized crystal structure of Al3Rh.

abc: 4.674 4.674 4.589
angles: 80.97 80.97 36.79
Atoms (fractional coordinates):
Rh1 0.000 0.000 0.000
Al1 0.500 0.500 0.500
Al2 0.742 0.742 0.760
Al3 0.258 0.258 0.240

Results
ΔE_f in eV per atom: -0.514
DOS at the Fermi energy in states/eV/atom: 0.2793
VASP energy in eV for the cell shown: -20.63

---

[4]
Density functional theory data (PBE-GGA) for an optimized crystal structure of AlRh3.

abc: 5.844 5.535 5.535
angles: 90.06 103.70 76.30
Atoms (fractional coordinates):
Rh1 0.328 0.164 0.328
Rh2 0.676 0.327 0.673
Rh3 0.324 0.673 0.327
Rh4 0.672 0.836 0.672
Rh5 0.323 0.166 0.834
Rh6 0.672 0.328 0.164
Rh7 0.000 0.500 0.500
Rh8 0.328 0.672 0.836
Rh9 0.677 0.834 0.166
Al1 0.000 0.000 0.000
Al2 0.000 0.500 0.000
Al3 0.000 0.000 0.500

Results
ΔE_f in eV per atom: -0.426
DOS at the Fermi energy in states/eV/atom: 1.1738
VASP energy in eV for the cell shown: -82.50

---

[5]
Density functional theory data (PBE-GGA) for an optimized crystal structure of Al3Rh.

abc: 4.358 2.916 4.617
angles: 90.00 90.00 90.00
Atoms (fractional coordinates):
Rh1 0.500 0.000 0.673
Al1 0.000 0.000 0.998
Al2 0.000 0.500 0.504
Al3 0.500 0.500 0.160

Results
ΔE_f in eV per atom: -0.507
DOS at the Fermi energy in states/eV/atom: 0.2551
VASP energy in eV for the cell shown: -20.61

---

[6]
Density functional theory data (PBE-GGA) for an optimized crystal structure of AlRh3.

abc: 2.845 2.845 6.935
angles: 90.00 90.00 90.00
Last column: magnetic moment on the atom in μB.
Atoms (fractional coordinates):
Rh1 0.500 0.500 0.773  0.33
Rh2 0.000 0.000 0.500  0.84
Rh3 0.500 0.500 0.227  0.33
Al1 0.000 0.000 0.000  -0.01

Results
ΔE_f in eV per atom: -0.430
DOS at the Fermi energy in states/eV/atom: 1.2725
VASP energy in eV for the cell shown: -27.52

---

[7]
Density functional theory data (PBE-GGA) for an optimized crystal structure of Al5Rh7.

abc: 2.876 9.114 7.029
angles: 67.91 90.00 90.00
Atoms (fractional coordinates):
Rh1 0.500 0.209 0.841
Rh2 0.500 0.373 0.251
Rh3 0.000 0.462 0.527
Rh4 0.500 0.635 0.705
Rh5 0.000 0.670 0.027
Rh6 0.000 0.886 0.403
Rh7 0.500 0.922 0.730
Al1 0.000 0.959 0.007
Al2 0.500 0.115 0.223
Al3 0.000 0.170 0.547
Al4 0.000 0.410 0.931
Al5 0.500 0.689 0.310

Results
ΔE_f in eV per atom: -0.661
DOS at the Fermi energy in states/eV/atom: 0.7115
ΔE to the lowest computed polymorph in meV/atom: 127.2
VASP energy in eV for the cell shown: -78.10

---

[8]
Density functional theory data (PBE-GGA) for an optimized crystal structure of Al3Rh5.

abc: 6.113 6.113 8.895
angles: 50.99 50.99 26.49
Atoms (fractional coordinates):
Al1 0.381 0.381 0.856
Al2 0.000 0.000 0.000
Al3 0.619 0.619 0.144
Rh1 0.261 0.261 0.220
Rh2 0.883 0.883 0.360
Rh3 0.500 0.500 0.500
Rh4 0.117 0.117 0.640
Rh5 0.739 0.739 0.780

Results
ΔE_f in eV per atom: -0.567
DOS at the Fermi energy in states/eV/atom: 0.4225
VASP energy in eV for the cell shown: -52.52

---

[9]
Density functional theory data (PBE-GGA) for an optimized crystal structure of Al4Rh3.

abc: 10.028 10.028 10.028
angles: 161.59 161.59 26.15
Atoms (fractional coordinates):
Al1 0.851 0.851 0.000
Al2 0.149 0.149 0.000
Al3 0.569 0.569 0.000
Al4 0.431 0.431 0.000
Rh1 0.000 0.000 0.000
Rh2 0.702 0.702 0.000
Rh3 0.298 0.298 0.000

Results
ΔE_f in eV per atom: -0.735
DOS at the Fermi energy in states/eV/atom: 0.5897
ΔE to the lowest computed polymorph in meV/atom: 185.3
VASP energy in eV for the cell shown: -42.17

---

[10]
Density functional theory data (PBE-GGA) for an optimized crystal structure of Al5Rh7.

abc: 3.787 7.676 6.243
angles: 108.53 90.00 90.00
Atoms (fractional coordinates):
Rh1 0.500 0.226 0.033
Rh2 0.500 0.387 0.640
Rh3 0.000 0.503 0.992
Rh4 0.500 0.583 0.333
Rh5 0.000 0.664 0.674
Rh6 0.500 0.780 0.027
Rh7 0.500 0.941 0.633
Al1 0.000 0.976 0.963
Al2 0.500 0.083 0.333
Al3 0.000 0.191 0.704
Al4 0.000 0.367 0.330
Al5 0.000 0.800 0.336

Results
ΔE_f in eV per atom: -0.637
DOS at the Fermi energy in states/eV/atom: 0.7596
ΔE to the lowest computed polymorph in meV/atom: 150.7
VASP energy in eV for the cell shown: -77.82

---

[11]
Density functional theory data (PBE-GGA) for an optimized crystal structure of Al2Rh3.

abc: 4.785 5.600 5.882
angles: 75.83 77.41 72.02
Atoms (fractional coordinates):
Al1 0.014 0.990 0.972
Al2 0.411 0.099 0.206
Al3 0.782 0.197 0.449
Al4 0.000 0.515 0.972
Rh1 0.189 0.305 0.604
Rh2 0.608 0.400 0.812
Rh3 0.399 0.564 0.210
Rh4 0.805 0.724 0.364
Rh5 0.203 0.808 0.578
Rh6 0.589 0.897 0.833

Results
ΔE_f in eV per atom: -0.558
DOS at the Fermi energy in states/eV/atom: 0.9387
ΔE to the lowest computed polymorph in meV/atom: 213.6
VASP energy in eV for the cell shown: -64.66

---

[12]
Density functional theory data (PBE-GGA) for an optimized crystal structure of Al5Rh7.

abc: 18.827 2.985 2.985
angles: 90.00 90.00 90.00
Atoms (fractional coordinates):
Rh1 0.169 0.000 0.000
Rh2 0.331 0.000 0.000
Rh3 0.491 0.000 0.000
Rh4 0.651 0.000 0.000
Rh5 0.749 0.500 0.500
Rh6 0.835 0.000 0.000
Rh7 0.938 0.500 0.500
Al1 0.000 0.000 0.000
Al2 0.094 0.500 0.500
Al3 0.252 0.500 0.500
Al4 0.413 0.500 0.500
Al5 0.576 0.500 0.500

Results
ΔE_f in eV per atom: -0.679
DOS at the Fermi energy in states/eV/atom: 0.6826
ΔE to the lowest computed polymorph in meV/atom: 108.8
VASP energy in eV for the cell shown: -78.32